DFT (GGA-PBEsol) results for a relaxed structure of Na4Sn3F10.

```
Na4Sn3F10
1.0
-2.127 3.626 -3.462
3.364 -6.150 -8.218
-9.861 -2.834 3.379
Na F Sn
8 20 6
Direct
0.751 0.901 0.443 Na
0.250 0.452 0.548 Na
0.251 0.443 0.901 Na
0.250 0.656 0.344 Na
0.749 0.557 0.099 Na
0.750 0.344 0.656 Na
0.249 0.099 0.557 Na
0.750 0.548 0.452 Na
0.612 0.557 0.653 F
0.395 0.432 0.095 F
0.605 0.568 0.905 F
0.952 0.501 0.256 F
0.984 0.204 0.722 F
0.452 0.256 0.501 F
0.562 0.009 0.654 F
0.548 0.744 0.499 F
0.895 0.095 0.432 F
0.105 0.905 0.568 F
0.938 0.346 0.991 F
0.388 0.443 0.347 F
0.112 0.653 0.557 F
0.438 0.991 0.346 F
0.484 0.722 0.204 F
0.048 0.499 0.744 F
0.888 0.347 0.443 F
0.516 0.278 0.796 F
0.062 0.654 0.009 F
0.016 0.796 0.278 F
0.163 0.330 0.173 Sn
0.837 0.670 0.827 Sn
0.663 0.173 0.330 Sn
0.750 0.155 0.845 Sn
0.250 0.845 0.155 Sn
0.337 0.827 0.670 Sn
```

## Properties
calculated volume: 589 Å³/cell
total energy: -80.254 eV/f.u.
energy relative to the elements, uncorrected: -2506 meV per atom